Entry from Alexandria via LeMat-Bulk: a relaxed Sm5Tm2Sc2 crystal (PBE).

Geometry as CIF:
```
data_Sm5Tm2Sc2
_cell_length_a 14.9171
_cell_length_b 4.9645
_cell_length_c 7.8835
_cell_angle_alpha 90.00
_cell_angle_beta 108.62
_cell_angle_gamma 90.00
_symmetry_space_group_name_H-M 'C 1 2/m 1'
_symmetry_Int_Tables_number 12
_symmetry_space_group_name_Hall '-C 2y'
loop_
_atom_site_label
_atom_site_type_symbol
_atom_site_fract_x
_atom_site_fract_y
_atom_site_fract_z
Sm1 Sm 0.0000 0.0000 0.0000
Sm2 Sm 0.1653 0.5000 0.0017
Sm3 Sm 0.2220 0.0000 0.3369
Tm1 Tm 0.1069 0.0000 0.6633
Sc1 Sc 0.0540 0.5000 0.3411
```

Values from the calculation:
magnetization: 0.0 Bohr magnetons per cell
calculated volume: 30.74 Å³/atom
final energy: -44.8 eV per formula unit